# PBE TbSc5Ga6, optimized geometry
# VASP energy: -5.121 eV per atom
# energy of formation: -7.003 eV per formula unit
data_TbSc5Ga6
_cell_length_a 4.8200
_cell_length_b 6.7442
_cell_length_c 14.4678
_cell_angle_alpha 90.00
_cell_angle_beta 90.00
_cell_angle_gamma 90.00
_space_group_name_H-M_alt 'I m m m'
_space_group_IT_number 71
_space_group_name_Hall '-I 2 2'
loop_
_atom_site_label
_atom_site_type_symbol
_atom_site_fract_x
_atom_site_fract_y
_atom_site_fract_z
Tb1 Tb 0.0000 0.0000 0.0000
Sc1 Sc 0.0000 0.0000 0.3311
Sc2 Sc 0.0000 0.5000 0.0000
Sc3 Sc 0.0000 0.5000 0.3371
Ga1 Ga 0.0000 0.2326 0.5000
Ga2 Ga 0.0000 0.2584 0.1709

# PBE TbScGa6, optimized geometry
# energy above the most stable polymorph in this dataset: 0.000 eV/f.u.
# VASP energy: -4.161 eV per atom
# energy of formation: -4.164 eV per formula unit
data_TbScGa6
_cell_length_a 4.2049
_cell_length_b 4.2049
_cell_length_c 8.3912
_cell_angle_alpha 90.00
_cell_angle_beta 90.00
_cell_angle_gamma 90.00
_space_group_name_H-M_alt 'P 4/m m m'
_space_group_IT_number 123
_space_group_name_Hall '-P 4 2'
loop_
_atom_site_label
_atom_site_type_symbol
_atom_site_fract_x
_atom_site_fract_y
_atom_site_fract_z
Tb1 Tb 0.0000 0.0000 0.0000
Sc1 Sc 0.0000 0.0000 0.5000
Ga1 Ga 0.0000 0.5000 0.2594
Ga2 Ga 0.5000 0.5000 0.0000
Ga3 Ga 0.5000 0.5000 0.5000

no.,DOS(E_F) (states/eV per cell),V (A^3/atom)
1,10.479,19.60
2,1.846,18.55